Record 1
BeZn2Cu5 | PBE | relaxed

Geometry as extended XYZ:
```
16
Lattice="5.068 0.000 0.000 0.000 10.132 0.000 0.000 0.000 3.743" Properties=species:S:1:pos:R:3 pbc="T T T"
Be 0.000 0.000 0.000
Be 2.534 5.066 0.000
Zn 1.068 3.731 1.871
Zn 1.466 8.797 1.871
Zn 3.602 1.335 1.871
Zn 4.000 6.400 1.871
Cu 0.000 5.066 0.000
Cu 0.210 7.665 0.000
Cu 1.046 1.138 1.871
Cu 1.488 6.204 1.871
Cu 2.324 2.599 0.000
Cu 2.534 0.000 0.000
Cu 2.744 7.533 0.000
Cu 3.580 3.928 1.871
Cu 4.022 8.994 1.871
Cu 4.858 2.467 0.000
```

Its space group is Pbam (55). For the calculated total energy, the calculation gives -3.39 eV/atom. The value obtained for the density is 7.91 g/cm³. As for the total magnetization: 0.0 Bohr magnetons per cell. As for the formation energy: -0.043 eV/atom.



Record 2
ThZn2TcH6 | PBE | relaxed

Geometry as extended XYZ:
```
20
Lattice="4.473 0.000 0.000 0.000 5.999 0.000 -4.387 0.000 7.297" Properties=species:S:1:pos:R:3 pbc="T T T"
Th 0.000 0.000 0.000
Th -2.194 3.000 3.649
Zn -2.113 0.205 5.211
Zn 0.080 2.795 1.563
Zn 0.005 3.204 5.734
Zn 2.199 5.794 2.086
Tc 0.043 0.000 3.649
Tc 2.236 3.000 0.000
H -0.665 0.847 2.231
H -2.858 2.152 5.879
H 0.751 3.878 0.197
H -1.442 5.121 3.845
H 0.249 4.265 2.990
H -1.944 4.734 6.639
H 2.030 1.265 0.658
H -0.163 1.734 4.307
H 1.528 0.878 3.452
H -0.665 2.122 7.100
H 2.944 3.847 1.418
H 0.750 5.152 5.066
```

Its space group is P2_1/c (14). For the calculated total energy, the calculation gives -4.07 eV/atom. The value obtained for the density is 7.92 g/cm³. As for the total magnetization: 0.0 Bohr magnetons per cell.



Record 3
CaTm2Ni9 | PBE | relaxed

Geometry as extended XYZ:
```
12
Lattice="2.487 1.436 8.008 -2.487 1.436 8.008 0.000 -2.872 8.008" Properties=species:S:1:pos:R:3 pbc="T T T"
Ca 0.000 0.000 0.000
Tm 0.000 0.000 3.336
Tm 0.000 0.000 20.687
Ni -1.252 -0.723 10.005
Ni 0.000 0.000 7.998
Ni 0.000 -1.445 14.018
Ni -1.252 0.723 14.018
Ni 0.000 0.000 12.012
Ni 1.252 -0.723 10.005
Ni 0.000 1.445 10.005
Ni 0.000 0.000 16.025
Ni 1.252 0.723 14.018
```

Its space group is R-3m (166). For the calculated total energy, the calculation gives -5.59 eV/atom. The value obtained for the density is 8.77 g/cm³. As for the total magnetization: 2.0 Bohr magnetons per cell. As for the formation energy: -0.345 eV/atom.



Record 4
Ba2Zn3AgBi4 | PBE | relaxed

Geometry as extended XYZ:
```
10
Lattice="5.209 0.000 0.000 0.000 5.209 0.000 0.000 0.000 11.019" Properties=species:S:1:pos:R:3 pbc="T T T"
Ba 0.000 2.605 2.653
Ba 2.605 0.000 8.366
Zn 0.000 0.000 0.000
Zn 0.000 2.605 6.848
Zn 2.605 0.000 4.171
Ag 2.605 2.605 0.000
Bi 0.000 0.000 5.510
Bi 0.000 2.605 9.604
Bi 2.605 0.000 1.415
Bi 2.605 2.605 5.510
```

Its space group is P-4m2 (115). For the calculated total energy, the calculation gives -2.97 eV/atom. The value obtained for the density is 7.86 g/cm³. As for the total magnetization: 0.0 Bohr magnetons per cell. As for the formation energy: -0.370 eV/atom.



Record 5
Er3HRh8 | PBE | relaxed

Geometry as extended XYZ:
```
12
Lattice="2.643 1.526 8.601 -2.643 1.526 8.601 0.000 -3.052 8.601" Properties=species:S:1:pos:R:3 pbc="T T T"
Er 0.000 0.000 0.000
Er 0.000 0.000 3.403
Er 0.000 0.000 13.452
H 0.000 0.000 18.025
Rh 0.000 -1.519 6.090
Rh -1.315 0.759 6.090
Rh -1.301 -0.751 10.415
Rh 0.000 0.000 8.219
Rh 1.315 0.759 6.090
Rh 1.301 -0.751 10.415
Rh 0.000 1.502 10.415
Rh 0.000 0.000 21.150
```

Its space group is R3m (160). For the calculated total energy, the calculation gives -6.82 eV/atom. The value obtained for the density is 10.58 g/cm³. As for the total magnetization: 0.0 Bohr magnetons per cell.



Record 6
AgAsCl | PBE | relaxed

Geometry as extended XYZ:
```
3
Lattice="0.000 2.748 6.495 1.812 0.000 6.495 1.812 2.748 0.000" Properties=species:S:1:pos:R:3 pbc="T T T"
Ag 0.000 0.000 0.000
As 1.812 2.748 4.586
Cl 1.812 2.748 8.274
```

Its space group is Fmm2 (42). For the calculated total energy, the calculation gives -3.00 eV/atom. The value obtained for the density is 5.60 g/cm³. As for the total magnetization: 0.0 Bohr magnetons per cell.



Record 7
KTa2As2 | PBE | relaxed

Geometry as extended XYZ:
```
5
Lattice="-2.483 2.483 4.633 2.483 -2.483 4.633 2.483 2.483 -4.633" Properties=species:S:1:pos:R:3 pbc="T T T"
K 0.000 0.000 0.000
Ta 0.000 0.000 3.305
Ta 0.000 0.000 5.961
As 2.483 0.000 2.316
As 0.000 2.483 2.316
```

Its space group is I4/mmm (139). For the calculated total energy, the calculation gives -6.68 eV/atom. The value obtained for the density is 8.01 g/cm³. As for the total magnetization: 0.0 Bohr magnetons per cell. As for the formation energy: 0.141 eV/atom.



Record 8
TiAs2PtSe | PBE | relaxed

Geometry as extended XYZ:
```
5
Lattice="4.849 0.000 0.000 0.000 4.849 0.000 0.000 0.000 4.739" Properties=species:S:1:pos:R:3 pbc="T T T"
Ti 0.000 0.000 0.000
As 0.000 2.424 0.000
As 2.424 0.000 0.000
Pt 2.424 2.424 2.369
Se 0.000 0.000 2.369
```

Its space group is P4/mmm (123). For the calculated total energy, the calculation gives -4.93 eV/atom. The value obtained for the density is 7.03 g/cm³. As for the total magnetization: 0.0 Bohr magnetons per cell.



Record 9
LaY3Ru | PBE | relaxed

Geometry as extended XYZ:
```
10
Lattice="6.231 -1.818 0.000 6.231 1.818 0.000 -3.121 0.000 12.961" Properties=species:S:1:pos:R:3 pbc="T T T"
La 1.612 0.000 0.561
La 7.730 0.000 12.400
Y -0.022 0.000 5.737
Y 0.646 0.000 9.270
Y 5.286 0.000 2.545
Y 4.056 0.000 10.416
Y 8.696 0.000 3.691
Y 9.364 0.000 7.223
Ru 4.068 0.000 5.039
Ru 5.274 0.000 7.922
```

Its space group is C2/m (12). For the calculated total energy, the calculation gives -6.88 eV/atom. The value obtained for the density is 5.73 g/cm³. As for the total magnetization: 0.0 Bohr magnetons per cell. As for the formation energy: -0.158 eV/atom.



Record 10
TlC2 | PBE | relaxed

Geometry as extended XYZ:
```
3
Lattice="-1.332 1.332 5.401 1.332 -1.332 5.401 1.332 1.332 -5.401" Properties=species:S:1:pos:R:3 pbc="T T T"
Tl 0.000 0.000 0.000
C 0.000 0.000 2.648
C 0.000 0.000 8.154
```

Its space group is I4/mmm (139). For the calculated total energy, the calculation gives -4.42 eV/atom. The value obtained for the density is 9.89 g/cm³. As for the total magnetization: 0.0 Bohr magnetons per cell. As for the formation energy: 2.523 eV/atom.



Record 11
HfN | PBE | relaxed

Geometry as extended XYZ:
```
12
Lattice="5.986 0.000 0.000 0.000 5.986 0.000 0.000 0.000 5.986" Properties=species:S:1:pos:R:3 pbc="T T T"
Hf 0.000 1.497 2.993
Hf 0.000 4.490 2.993
Hf 1.497 2.993 0.000
Hf 2.993 0.000 1.497
Hf 2.993 0.000 4.490
Hf 4.490 2.993 0.000
N 0.000 2.993 1.497
N 0.000 2.993 4.490
N 1.497 0.000 2.993
N 2.993 1.497 0.000
N 2.993 4.490 0.000
N 4.490 0.000 2.993
```

Its space group is Pm-3n (223). For the calculated total energy, the calculation gives -10.39 eV/atom. The value obtained for the density is 8.94 g/cm³. As for the total magnetization: 0.0 Bohr magnetons per cell.



Record 12
Sr3TmSe4 | PBE | relaxed

Geometry as extended XYZ:
```
16
Lattice="7.518 0.000 0.000 0.000 8.654 0.000 -2.499 0.000 7.025" Properties=species:S:1:pos:R:3 pbc="T T T"
Sr -0.625 1.071 1.756
Sr -1.874 3.243 5.268
Sr -0.625 5.411 1.756
Sr -1.874 7.583 5.268
Sr 3.134 3.245 1.756
Sr 1.885 5.409 5.268
Tm 1.885 1.062 5.268
Tm 3.134 7.592 1.756
Se 0.675 3.131 3.600
Se 1.925 5.522 0.088
Se -0.460 0.994 7.015
Se 0.790 7.660 3.502
Se 4.229 0.994 3.522
Se 5.479 7.660 0.010
Se 3.094 3.131 6.937
Se 4.344 5.522 3.425
```

Its space group is P2/c (13). For the calculated total energy, the calculation gives -4.87 eV/atom. The value obtained for the density is 5.43 g/cm³. As for the total magnetization: 0.0 Bohr magnetons per cell.